Pm5Ho4Er (GGA-PBE, optimized geometry); excess energy over the best structure of this formula in the dataset = 0 meV/atom; formation enthalpy at 0 K = 0.390 kcal/mol of atoms
1.0
-0.653 -3.510 -0.436
3.174 -0.386 -1.647
10.917 -4.782 22.152
Pm Ho Er
5 4 1
Direct
0.500 0.500 0.100
0.500 0.500 0.300
0.500 0.500 0.500
0.500 0.500 0.700
0.500 0.500 0.900
0.000 0.000 0.200
0.000 0.000 0.400
0.000 0.000 0.600
0.000 0.000 0.800
0.000 0.000 0.000